First-principles (PBE with a Hubbard U) data for an optimized crystal structure of CrTc2PbO8, as listed in the Alexandria database.

Output
Total energy (eV/atom): -7.29
Crystal system: trigonal
N(E_F) (states/eV per cell): 6.09

```
data_CrTc2PbO8
_symmetry_space_group_name_H-M 'P 1'
_symmetry_Int_Tables_number 1
_cell_length_a 5.634
_cell_length_b 5.634
_cell_length_c 6.935
_cell_angle_alpha 90.00
_cell_angle_beta 90.00
_cell_angle_gamma 120.00
loop_
_symmetry_equiv_pos_as_xyz
'x,y,z'
loop_
_atom_site_label
_atom_site_type_symbol
_atom_site_fract_x
_atom_site_fract_y
_atom_site_fract_z
Cr1 Cr 0.000 0.000 0.000
Tc1 Tc 0.333 0.667 0.247
Tc2 Tc 0.667 0.333 0.753
Pb1 Pb 0.000 0.000 0.500
O1 O 0.085 0.313 0.186
O2 O 0.228 0.915 0.186
O3 O 0.313 0.228 0.814
O4 O 0.333 0.667 0.501
O5 O 0.667 0.333 0.499
O6 O 0.687 0.772 0.186
O7 O 0.772 0.085 0.814
O8 O 0.915 0.687 0.814
```

First-principles (PBE with a Hubbard U) data for an optimized crystal structure of CrTePbO6, as listed in the Alexandria database.

Output
Total energy (eV/atom): -6.19
Crystal system: monoclinic

```
data_CrTePbO6
_symmetry_space_group_name_H-M 'P 1'
_symmetry_Int_Tables_number 1
_cell_length_a 5.193
_cell_length_b 5.193
_cell_length_c 5.442
_cell_angle_alpha 90.56
_cell_angle_beta 90.56
_cell_angle_gamma 119.00
loop_
_symmetry_equiv_pos_as_xyz
'x,y,z'
loop_
_atom_site_label
_atom_site_type_symbol
_atom_site_fract_x
_atom_site_fract_y
_atom_site_fract_z
Cr1 Cr 0.000 0.000 0.000
Te1 Te 0.341 0.659 0.000
Pb1 Pb 0.667 0.333 0.500
O1 O 0.055 0.709 0.800
O2 O 0.063 0.323 0.202
O3 O 0.291 0.945 0.200
O4 O 0.293 0.327 0.798
O5 O 0.673 0.707 0.202
O6 O 0.677 0.937 0.798
```

First-principles (PBE with a Hubbard U) data for an optimized crystal structure of TiCr2PbO8, as listed in the Alexandria database.

Output
Total energy (eV/atom): -7.19
Crystal system: monoclinic
N(E_F) (states/eV per cell): 0.00

```
data_TiCr2PbO8
_symmetry_space_group_name_H-M 'P 1'
_symmetry_Int_Tables_number 1
_cell_length_a 5.180
_cell_length_b 5.180
_cell_length_c 7.211
_cell_angle_alpha 90.41
_cell_angle_beta 90.41
_cell_angle_gamma 66.46
loop_
_symmetry_equiv_pos_as_xyz
'x,y,z'
loop_
_atom_site_label
_atom_site_type_symbol
_atom_site_fract_x
_atom_site_fract_y
_atom_site_fract_z
Ti1 Ti 0.000 0.000 0.000
Cr1 Cr 0.361 0.361 0.220
Cr2 Cr 0.639 0.639 0.780
Pb1 Pb 0.000 0.000 0.500
O1 O 0.212 0.734 0.195
O2 O 0.225 0.225 0.051
O3 O 0.266 0.788 0.805
O4 O 0.297 0.297 0.437
O5 O 0.703 0.703 0.563
O6 O 0.734 0.212 0.195
O7 O 0.775 0.775 0.949
O8 O 0.788 0.266 0.805
```

First-principles (PBE with a Hubbard U) data for an optimized crystal structure of TiCrPbO4, as listed in the Alexandria database.

Output
Total energy (eV/atom): -7.48
Crystal system: monoclinic
N(E_F) (states/eV per cell): 0.00

```
data_TiCrPbO4
_symmetry_space_group_name_H-M 'P 1'
_symmetry_Int_Tables_number 1
_cell_length_a 5.689
_cell_length_b 5.881
_cell_length_c 6.796
_cell_angle_alpha 90.00
_cell_angle_beta 102.21
_cell_angle_gamma 90.00
loop_
_symmetry_equiv_pos_as_xyz
'x,y,z'
loop_
_atom_site_label
_atom_site_type_symbol
_atom_site_fract_x
_atom_site_fract_y
_atom_site_fract_z
Ti1 Ti 0.219 0.250 0.150
Ti2 Ti 0.781 0.750 0.850
Cr1 Cr 0.289 0.750 0.939
Cr2 Cr 0.711 0.250 0.061
Pb1 Pb 0.250 0.750 0.406
Pb2 Pb 0.750 0.250 0.594
O1 O 0.003 0.750 0.089
O2 O 0.006 0.250 0.316
O3 O 0.433 0.010 0.193
O4 O 0.433 0.490 0.193
O5 O 0.567 0.510 0.807
O6 O 0.567 0.990 0.807
O7 O 0.994 0.750 0.684
O8 O 0.997 0.250 0.911
```

First-principles (PBE with a Hubbard U) data for an optimized crystal structure of Tl3Cr2PbO8, as listed in the Alexandria database.

Output
Total energy (eV/atom): -5.79
Crystal system: trigonal
N(E_F) (states/eV per cell): 5.61

```
data_Tl3Cr2PbO8
_symmetry_space_group_name_H-M 'P 1'
_symmetry_Int_Tables_number 1
_cell_length_a 6.118
_cell_length_b 6.118
_cell_length_c 7.911
_cell_angle_alpha 90.00
_cell_angle_beta 90.00
_cell_angle_gamma 120.00
loop_
_symmetry_equiv_pos_as_xyz
'x,y,z'
loop_
_atom_site_label
_atom_site_type_symbol
_atom_site_fract_x
_atom_site_fract_y
_atom_site_fract_z
Tl1 Tl 0.000 0.000 0.000
Tl2 Tl 0.333 0.667 0.690
Tl3 Tl 0.667 0.333 0.310
Cr1 Cr 0.333 0.667 0.217
Cr2 Cr 0.667 0.333 0.783
Pb1 Pb 0.000 0.000 0.500
O1 O 0.181 0.363 0.290
O2 O 0.181 0.819 0.290
O3 O 0.333 0.667 0.006
O4 O 0.363 0.181 0.710
O5 O 0.637 0.819 0.290
O6 O 0.667 0.333 0.994
O7 O 0.819 0.181 0.710
O8 O 0.819 0.637 0.710
```

First-principles (PBE with a Hubbard U) data for an optimized crystal structure of TlCrPbO4, as listed in the Alexandria database.

Output
Total energy (eV/atom): -5.94
Crystal system: monoclinic

```
data_TlCrPbO4
_symmetry_space_group_name_H-M 'P 1'
_symmetry_Int_Tables_number 1
_cell_length_a 6.565
_cell_length_b 5.979
_cell_length_c 7.528
_cell_angle_alpha 90.00
_cell_angle_beta 104.43
_cell_angle_gamma 90.00
loop_
_symmetry_equiv_pos_as_xyz
'x,y,z'
loop_
_atom_site_label
_atom_site_type_symbol
_atom_site_fract_x
_atom_site_fract_y
_atom_site_fract_z
Tl1 Tl 0.193 0.250 0.392
Tl2 Tl 0.807 0.750 0.608
Cr1 Cr 0.230 0.750 0.155
Cr2 Cr 0.770 0.250 0.845
Pb1 Pb 0.281 0.250 0.926
Pb2 Pb 0.719 0.750 0.074
O1 O 0.037 0.750 0.949
O2 O 0.095 0.750 0.321
O3 O 0.394 0.517 0.166
O4 O 0.394 0.983 0.166
O5 O 0.606 0.017 0.834
O6 O 0.606 0.483 0.834
O7 O 0.905 0.250 0.679
O8 O 0.963 0.250 0.051
```

First-principles (PBE with a Hubbard U) data for an optimized crystal structure of Tl2CrPbO4, as listed in the Alexandria database.

Output
Total energy (eV/atom): -5.55
Crystal system: triclinic

```
data_Tl2CrPbO4
_symmetry_space_group_name_H-M 'P 1'
_symmetry_Int_Tables_number 1
_cell_length_a 5.069
_cell_length_b 5.918
_cell_length_c 6.582
_cell_angle_alpha 109.32
_cell_angle_beta 93.47
_cell_angle_gamma 113.85
loop_
_symmetry_equiv_pos_as_xyz
'x,y,z'
loop_
_atom_site_label
_atom_site_type_symbol
_atom_site_fract_x
_atom_site_fract_y
_atom_site_fract_z
Tl1 Tl 0.000 0.000 0.000
Tl2 Tl 0.250 0.489 0.758
Cr1 Cr 0.518 0.035 0.618
Pb1 Pb 0.749 0.574 0.335
O1 O 0.247 0.690 0.446
O2 O 0.495 0.124 0.897
O3 O 0.574 0.313 0.536
O4 O 0.855 0.982 0.617
```

First-principles (PBE with a Hubbard U) data for an optimized crystal structure of TmCr2PbO8, as listed in the Alexandria database.

Output
Total energy (eV/atom): -6.96
Crystal system: trigonal
N(E_F) (states/eV per cell): 5.39

```
data_TmCr2PbO8
_symmetry_space_group_name_H-M 'P 1'
_symmetry_Int_Tables_number 1
_cell_length_a 5.704
_cell_length_b 5.704
_cell_length_c 7.088
_cell_angle_alpha 90.00
_cell_angle_beta 90.00
_cell_angle_gamma 120.00
loop_
_symmetry_equiv_pos_as_xyz
'x,y,z'
loop_
_atom_site_label
_atom_site_type_symbol
_atom_site_fract_x
_atom_site_fract_y
_atom_site_fract_z
Tm1 Tm 0.000 0.000 0.000
Cr1 Cr 0.333 0.667 0.281
Cr2 Cr 0.667 0.333 0.719
Pb1 Pb 0.000 0.000 0.500
O1 O 0.167 0.337 0.206
O2 O 0.170 0.833 0.206
O3 O 0.333 0.667 0.512
O4 O 0.337 0.170 0.794
O5 O 0.663 0.830 0.206
O6 O 0.667 0.333 0.488
O7 O 0.830 0.167 0.794
O8 O 0.833 0.663 0.794
```

First-principles (PBE with a Hubbard U) data for an optimized crystal structure of UCr2PbO8, as listed in the Alexandria database.

Output
Total energy (eV/atom): -7.76
Crystal system: monoclinic

```
data_UCr2PbO8
_symmetry_space_group_name_H-M 'P 1'
_symmetry_Int_Tables_number 1
_cell_length_a 5.070
_cell_length_b 5.070
_cell_length_c 7.318
_cell_angle_alpha 99.85
_cell_angle_beta 99.85
_cell_angle_gamma 77.17
loop_
_symmetry_equiv_pos_as_xyz
'x,y,z'
loop_
_atom_site_label
_atom_site_type_symbol
_atom_site_fract_x
_atom_site_fract_y
_atom_site_fract_z
U1 U 0.000 0.000 0.000
Cr1 Cr 0.448 0.448 0.295
Cr2 Cr 0.552 0.552 0.705
Pb1 Pb 0.000 0.000 0.500
O1 O 0.234 0.765 0.777
O2 O 0.235 0.766 0.223
O3 O 0.248 0.248 0.076
O4 O 0.343 0.343 0.486
O5 O 0.657 0.657 0.514
O6 O 0.752 0.752 0.924
O7 O 0.765 0.234 0.777
O8 O 0.766 0.235 0.223
```

First-principles (PBE with a Hubbard U) data for an optimized crystal structure of VCrPb2O6, as listed in the Alexandria database.

Output
Total energy (eV/atom): -6.78
Crystal system: tetragonal

```
data_VCrPb2O6
_symmetry_space_group_name_H-M 'P 1'
_symmetry_Int_Tables_number 1
_cell_length_a 5.521
_cell_length_b 5.521
_cell_length_c 4.139
_cell_angle_alpha 90.00
_cell_angle_beta 90.00
_cell_angle_gamma 90.00
loop_
_symmetry_equiv_pos_as_xyz
'x,y,z'
loop_
_atom_site_label
_atom_site_type_symbol
_atom_site_fract_x
_atom_site_fract_y
_atom_site_fract_z
V1 V 0.000 0.000 0.000
Cr1 Cr 0.500 0.500 0.044
Pb1 Pb 0.000 0.500 0.483
Pb2 Pb 0.500 0.000 0.483
O1 O 0.000 0.000 0.583
O2 O 0.239 0.239 0.074
O3 O 0.239 0.761 0.074
O4 O 0.500 0.500 0.553
O5 O 0.761 0.239 0.074
O6 O 0.761 0.761 0.074
```

no.,size of the total moment (μB per atom)
1,0.5021
2,0.2225
3,0.1667
4,0.5714
5,0.0714
6,0.1429
7,0.2500
8,0.0833
9,0.3333
10,0.2998